Arrangement a

Below is Zr2TlIr after structural relaxation, with properties calculated at the PBE level.

a = 7.481 Å, b = 7.481 Å, c = 7.481 Å
α = 30.62°, β = 30.62°, γ = 30.62°
Sites, in units of the cell vectors:
Zr (0.000, 0.000, 0.000)
Zr (0.206, 0.206, 0.206)
Tl (0.437, 0.437, 0.437)
Ir (0.600, 0.600, 0.600)

Results
DOS(E_F)   3.552 states/eV/f.u.

***

Arrangement b

Below is Zr2TlIr after structural relaxation, with properties calculated at the PBE level.

a = 3.112 Å, b = 3.112 Å, c = 8.455 Å
α = 90.00°, β = 90.00°, γ = 90.00°
Sites, in units of the cell vectors:
Zr (0.000, 0.000, 0.215)
Zr (0.000, 0.000, 0.785)
Tl (0.500, 0.500, 0.500)
Ir (0.500, 0.500, 0.000)

Results
DOS(E_F)   4.805 states/eV/f.u.

***

Stability check: which of them is most stable? arrangement b.

***

Arrangement a

Below is Tm3Ir2 after structural relaxation, with properties calculated at the PBE level.

a = 4.714 Å, b = 4.714 Å, c = 5.936 Å
α = 90.16°, β = 90.16°, γ = 59.73°
Sites, in units of the cell vectors:
Tm (0.000, 0.000, 0.000)
Tm (0.334, 0.334, 0.336)
Tm (0.666, 0.666, 0.664)
Ir (0.333, 0.333, 0.830)
Ir (0.667, 0.667, 0.170)

Results
DOS(E_F)   2.564 states/eV/f.u.

***

Arrangement b

Below is Tm3Ir2 after structural relaxation, with properties calculated at the PBE level.

a = 5.838 Å, b = 5.838 Å, c = 9.877 Å
α = 90.00°, β = 90.00°, γ = 137.08°
Sites, in units of the cell vectors:
Tm (0.096, 0.904, 0.750)
Tm (0.352, 0.648, 0.564)
Tm (0.352, 0.648, 0.936)
Tm (0.648, 0.352, 0.064)
Tm (0.648, 0.352, 0.436)
Tm (0.904, 0.096, 0.250)
Ir (0.000, 0.000, 0.000)
Ir (0.000, 0.000, 0.500)
Ir (0.188, 0.812, 0.250)
Ir (0.812, 0.188, 0.750)

Results
DOS(E_F)   2.785 states/eV/f.u.

***

Stability check: which of them is most stable? arrangement a.

***

Arrangement a

Below is TmVIr after structural relaxation, with properties calculated at the PBE level.

a = 6.964 Å, b = 4.284 Å, c = 7.538 Å
α = 90.00°, β = 90.00°, γ = 90.00°
Sites, in units of the cell vectors:
Tm (0.010, 0.250, 0.184)
Tm (0.490, 0.750, 0.684)
Tm (0.510, 0.250, 0.316)
Tm (0.990, 0.750, 0.816)
V (0.148, 0.250, 0.575)
V (0.352, 0.750, 0.075)
V (0.648, 0.250, 0.925)
V (0.852, 0.750, 0.425)
Ir (0.205, 0.750, 0.405)
Ir (0.295, 0.250, 0.905)
Ir (0.705, 0.750, 0.095)
Ir (0.795, 0.250, 0.595)

Results
DOS(E_F)   2.722 states/eV/f.u.

***

Arrangement b

Below is TmVIr after structural relaxation, with properties calculated at the PBE level.

a = 5.961 Å, b = 5.961 Å, c = 5.961 Å
α = 149.64°, β = 149.64°, γ = 43.48°
Sites, in units of the cell vectors:
Tm (0.000, 0.000, 0.000)
V (0.694, 0.694, 0.000)
Ir (0.310, 0.310, 0.000)

Results
DOS(E_F)   5.000 states/eV/f.u.

***

Stability check: which of them is most stable? arrangement a.

***

Arrangement a

Below is YTmIr2 after structural relaxation, with properties calculated at the PBE level.

a = 4.820 Å, b = 4.820 Å, c = 4.820 Å
α = 60.00°, β = 60.00°, γ = 60.00°
Sites, in units of the cell vectors:
Y (0.000, 0.000, 0.000)
Tm (0.500, 0.500, 0.500)
Ir (0.250, 0.250, 0.250)
Ir (0.750, 0.750, 0.750)

Results
DOS(E_F)   2.728 states/eV/f.u.

***

Arrangement b

Below is YTmIr2 after structural relaxation, with properties calculated at the PBE level.

a = 4.704 Å, b = 4.704 Å, c = 3.569 Å
α = 90.00°, β = 90.00°, γ = 90.00°
Sites, in units of the cell vectors:
Y (0.000, 0.000, 0.000)
Tm (0.500, 0.500, 0.000)
Ir (0.000, 0.500, 0.500)
Ir (0.500, 0.000, 0.500)

Results
DOS(E_F)   0.880 states/eV/f.u.

***

Stability check: which of them is most stable? arrangement b.

***

Arrangement a

Below is YTmIr after structural relaxation, with properties calculated at the PBE level.

a = 4.781 Å, b = 4.781 Å, c = 4.781 Å
α = 60.00°, β = 60.00°, γ = 60.00°
Sites, in units of the cell vectors:
Y (0.000, 0.000, 0.000)
Tm (0.500, 0.500, 0.500)
Ir (0.750, 0.750, 0.750)

Results
DOS(E_F)   3.060 states/eV/f.u.

***

Arrangement b

Below is YTmIr after structural relaxation, with properties calculated at the PBE level.

a = 6.769 Å, b = 6.769 Å, c = 6.769 Å
α = 150.51°, β = 150.51°, γ = 42.20°
Sites, in units of the cell vectors:
Y (0.000, 0.000, 0.000)
Tm (0.742, 0.742, 0.000)
Ir (0.367, 0.367, 0.000)

Results
DOS(E_F)   3.340 states/eV/f.u.

***

Stability check: which of them is most stable? arrangement a.

***

Arrangement a

Below is Y2TmIr after structural relaxation, with properties calculated at the PBE level.

a = 10.675 Å, b = 10.675 Å, c = 10.675 Å
α = 19.98°, β = 19.98°, γ = 19.98°
Sites, in units of the cell vectors:
Y (0.112, 0.112, 0.112)
Y (0.888, 0.888, 0.888)
Tm (0.000, 0.000, 0.000)
Ir (0.500, 0.500, 0.500)

Results
DOS(E_F)   5.304 states/eV/f.u.

***

Arrangement b

Below is Y2TmIr after structural relaxation, with properties calculated at the PBE level.

a = 6.338 Å, b = 6.338 Å, c = 9.128 Å
α = 90.00°, β = 90.00°, γ = 144.40°
Sites, in units of the cell vectors:
Y (0.140, 0.860, 0.566)
Y (0.140, 0.860, 0.934)
Y (0.860, 0.140, 0.066)
Y (0.860, 0.140, 0.434)
Tm (0.423, 0.577, 0.750)
Tm (0.577, 0.423, 0.250)
Ir (0.244, 0.756, 0.250)
Ir (0.756, 0.244, 0.750)

Results
DOS(E_F)   4.197 states/eV/f.u.

***

Stability check: which of them is most stable? arrangement b.